Below is a relaxed structure of BaCoS2, with properties calculated at the PBE level.

CIF file:
```
data_BaCoS2
_chemical_formula_sum 'Ba4 Co4 S8'
_symmetry_space_group_name_H-M 'P c c a'
_symmetry_Int_Tables_number 54
_cell_length_a 6.190
_cell_length_b 8.924
_cell_length_c 6.189
_cell_angle_alpha 90.00
_cell_angle_beta 90.00
_cell_angle_gamma 90.00
loop_
_symmetry_equiv_pos_as_xyz
'x,y,z'
'-x,-y,-z'
'-x+1/2,-y,z'
'x+1/2,y,-z'
'x+1/2,-y,-z+1/2'
'-x+1/2,y,z+1/2'
'-x,y,-z+1/2'
'x,-y,z+1/2'
loop_
_atom_site_label
_atom_site_fract_x
_atom_site_fract_y
_atom_site_fract_z
Ba1 0.000 0.200 0.250
Co1 0.000 0.413 0.750
S1 0.000 0.159 0.750
S2 0.250 0.500 0.002
```

Summary:
Electronic total energy (eV per atom): -5.444
Total magnetic moment (μB per cell): 2.80
Crystal system: orthorhombic


Below is a relaxed structure of PrReNO, with properties calculated at the PBE level.

CIF file:
```
data_PrReNO
_chemical_formula_sum 'Pr4 Re4 N4 O4'
_symmetry_space_group_name_H-M 'P c a 21'
_symmetry_Int_Tables_number 29
_cell_length_a 7.115
_cell_length_b 6.888
_cell_length_c 5.046
_cell_angle_alpha 90.00
_cell_angle_beta 90.00
_cell_angle_gamma 90.00
loop_
_symmetry_equiv_pos_as_xyz
'x,y,z'
'-x,-y,z+1/2'
'-x+1/2,y,z+1/2'
'x+1/2,-y,z'
loop_
_atom_site_label
_atom_site_fract_x
_atom_site_fract_y
_atom_site_fract_z
Pr1 0.092 0.182 0.000
Re1 0.185 0.678 0.000
N1 0.023 0.159 0.500
O1 0.249 0.463 0.251
```

Summary:
Electronic total energy (eV per atom): -8.694
Total magnetic moment (μB per cell): 0.01
Offset from the most stable computed form (kcal/mol of atoms): 2.70
Crystal system: orthorhombic


Below is a relaxed structure of BeSnBIr, with properties calculated at the PBE level.

CIF file:
```
data_BeSnBIr
_chemical_formula_sum 'Be4 Sn4 B4 Ir4'
_symmetry_space_group_name_H-M 'F -4 3 m'
_symmetry_Int_Tables_number 216
_symmetry_space_group_name_Hall 'F -4 2 3'
_cell_length_a 6.029
_cell_length_b 6.029
_cell_length_c 6.029
_cell_angle_alpha 90.00
_cell_angle_beta 90.00
_cell_angle_gamma 90.00
loop_
_atom_site_label
_atom_site_fract_x
_atom_site_fract_y
_atom_site_fract_z
Be1 0.000 0.000 0.000
Sn1 0.250 0.250 0.250
B1 0.250 0.250 0.750
Ir1 0.000 0.000 0.500
```

Summary:
Electronic total energy (eV per atom): -4.955
Total magnetic moment (μB per cell): 0.01
Offset from the most stable computed form (kcal/mol of atoms): 3.95
Crystal system: cubic